No. 1
Material: In4Si
Method: DFT, PBE
State: relaxed

The value obtained for the calculated density is 5.952 g cm⁻³. For the energy above the most stable polymorph in this dataset, the calculation gives 0.1144 eV per atom. The calculation puts the density of states at the Fermi level at 7.04 states/eV per cell. The calculation puts the formation energy from raw total energies at 0.415 eV/atom.

The structure belongs to space group I4/mmm (No. 139); the cell edges are 4.0631, 4.0631 and 16.4731 Å and the angles 90.00°, 90.00° and 90.00°. The inequivalent atoms are In at (0.0000, 0.0000, 0.0891), In at (0.0000, 0.5000, 0.2500) and Si at (0.0000, 0.0000, 0.5000).


No. 2
Material: In5Si
Method: DFT, PBE
State: relaxed

The value obtained for the calculated density is 6.593 g cm⁻³. For the energy above the most stable polymorph in this dataset, the calculation gives 0.0000 eV per atom. The calculation puts the density of states at the Fermi level at 1.59 states/eV per cell. The calculation puts the formation energy from raw total energies at 0.159 eV/atom.

The structure belongs to space group P4/mmm (No. 123); the cell edges are 3.4139, 3.4139 and 13.0127 Å and the angles 90.00°, 90.00° and 90.00°. The inequivalent atoms are In at (0.0000, 0.0000, 0.0000), In at (0.0000, 0.0000, 0.3608), In at (0.5000, 0.5000, 0.1779) and Si at (0.5000, 0.5000, 0.5000).


No. 3
Material: InSi
Method: DFT, PBE
State: relaxed

The value obtained for the calculated density is 5.624 g cm⁻³. The calculation puts the density of states at the Fermi level at 0.79 states/eV per cell. The calculation puts the formation energy from raw total energies at 0.484 eV/atom.

The structure belongs to space group Pmmm (No. 47); the cell edges are 3.1998, 3.4254 and 3.8494 Å and the angles 90.00°, 90.00° and 90.00°. The inequivalent atoms are In at (0.0000, 0.0000, 0.0000) and Si at (0.5000, 0.5000, 0.5000).


No. 4
Material: In2Si
Method: DFT, PBE
State: relaxed

The value obtained for the calculated density is 6.005 g cm⁻³. For the energy above the most stable polymorph in this dataset, the calculation gives 0.0763 eV per atom. The calculation puts the density of states at the Fermi level at 3.35 states/eV per cell. The calculation puts the formation energy from raw total energies at 0.251 eV/atom.

The structure belongs to space group Pnma (No. 62); the cell edges are 7.0666, 4.5424 and 8.8810 Å and the angles 90.00°, 90.00° and 90.00°. The inequivalent atoms are In at (0.0186, 0.2500, 0.1683), In at (0.1485, 0.2500, 0.5795) and Si at (0.2502, 0.2500, 0.8923).


No. 5
Material: InSi
Method: DFT, PBE
State: relaxed

The value obtained for the calculated density is 5.141 g cm⁻³. The calculation puts the density of states at the Fermi level at 0.18 states/eV per cell. The calculation puts the formation energy from raw total energies at 0.481 eV/atom.

The structure belongs to space group P6_3/mmc (No. 194); the cell edges are 4.0942, 4.0942 and 6.3593 Å and the angles 90.00°, 90.00° and 120.00°. The inequivalent atoms are In at (0.0000, 0.0000, 0.0000) and Si at (0.3333, 0.6667, 0.2500).


No. 6
Material: In3Si
Method: DFT, PBE
State: relaxed

The value obtained for the calculated density is 6.363 g cm⁻³. The calculation puts the density of states at the Fermi level at 1.47 states/eV per cell. The calculation puts the formation energy from raw total energies at 0.273 eV/atom.

The structure belongs to space group P2/m (No. 10); the cell edges are 3.3509, 4.9472 and 6.0162 Å and the angles 90.00°, 102.87° and 90.00°. The inequivalent atoms are In at (0.0000, 0.0000, 0.0000), In at (0.3747, 0.5000, 0.7328) and Si at (0.0000, 0.0000, 0.5000).


No. 7
Material: In2Si
Method: DFT, PBE
State: relaxed

The value obtained for the calculated density is 6.024 g cm⁻³. For the energy above the most stable polymorph in this dataset, the calculation gives 0.0996 eV per atom. The calculation puts the density of states at the Fermi level at 1.19 states/eV per cell. The calculation puts the formation energy from raw total energies at 0.274 eV/atom.

The structure belongs to space group P-1 (No. 2); the cell edges are 3.1770, 4.1502 and 5.9647 Å and the angles 78.18°, 89.70° and 67.79°. The inequivalent atoms are In at (0.1725, 0.1587, 0.2020) and Si at (0.5000, 0.5000, 0.5000).


No. 8
Material: In2Si
Method: DFT, PBE
State: relaxed

The value obtained for the calculated density is 6.016 g cm⁻³. For the energy above the most stable polymorph in this dataset, the calculation gives 0.0897 eV per atom. The calculation puts the density of states at the Fermi level at 2.17 states/eV per cell. The calculation puts the formation energy from raw total energies at 0.264 eV/atom.

The structure belongs to space group P-62m (No. 189); the cell edges are 7.5728, 7.5728 and 4.2969 Å and the angles 90.00°, 90.00° and 120.00°. The inequivalent atoms are In at (0.0000, 0.2620, 0.0000), In at (0.0000, 0.5923, 0.5000), Si at (0.0000, 0.0000, 0.5000) and Si at (0.3333, 0.6667, 0.0000).


No. 9
Material: InSi
Method: DFT, PBE
State: relaxed

The value obtained for the calculated density is 5.409 g cm⁻³. The calculation puts the density of states at the Fermi level at 5.60 states/eV per cell. The calculation puts the formation energy from raw total energies at 0.286 eV/atom.

The structure belongs to space group Immm (No. 71); the cell edges are 3.6375, 5.5644 and 13.0053 Å and the angles 90.00°, 90.00° and 90.00°. The inequivalent atoms are In at (0.0000, 0.0000, 0.0000), In at (0.0000, 0.5000, 0.3006), Si at (0.0000, 0.0000, 0.3710) and Si at (0.0000, 0.5000, 0.0000).


No. 10
Material: InSi
Method: DFT, PBE
State: relaxed

The value obtained for the calculated density is 5.138 g cm⁻³. The calculation puts the density of states at the Fermi level at 4.52 states/eV per cell. The calculation puts the formation energy from raw total energies at 0.608 eV/atom.

The structure belongs to space group P6_3/mmc (No. 194); the cell edges are 5.1371, 5.1371 and 8.0837 Å and the angles 90.00°, 90.00° and 120.00°. The inequivalent atoms are In at (0.0000, 0.0000, 0.2500), In at (0.3333, 0.6667, 0.2500) and Si at (0.3333, 0.6667, 0.5973).


No. 11
Material: In2Si
Method: DFT, PBE
State: relaxed

The value obtained for the calculated density is 6.173 g cm⁻³. For the energy above the most stable polymorph in this dataset, the calculation gives 0.1769 eV per atom. The calculation puts the density of states at the Fermi level at 4.29 states/eV per cell. The calculation puts the formation energy from raw total energies at 0.351 eV/atom.

The structure belongs to space group Cmcm (No. 63); the cell edges are 3.1035, 16.1283 and 5.5399 Å and the angles 90.00°, 90.00° and 90.00°. The inequivalent atoms are In at (0.0000, 0.0516, 0.2500), In at (0.0000, 0.2737, 0.7500) and Si at (0.0000, 0.3863, 0.2500).


No. 12
Material: InSi
Method: DFT, PBE
State: relaxed

The value obtained for the calculated density is 4.355 g cm⁻³. The calculation puts the density of states at the Fermi level at 2.37 states/eV per cell. The calculation puts the formation energy from raw total energies at 0.490 eV/atom.

The structure belongs to space group P6_3mc (No. 186); the cell edges are 4.0218, 4.0218 and 7.7793 Å and the angles 90.00°, 90.00° and 120.00°. The inequivalent atoms are In at (0.3333, 0.6667, 0.0000) and Si at (0.3333, 0.6667, 0.6670).


No. 13
Material: In3Si
Method: DFT, PBE
State: relaxed

The value obtained for the calculated density is 6.237 g cm⁻³. The calculation puts the density of states at the Fermi level at 5.22 states/eV per cell. The calculation puts the formation energy from raw total energies at 0.192 eV/atom.

The structure belongs to space group Pnma (No. 62); the cell edges are 6.6175, 9.0236 and 6.6437 Å and the angles 90.00°, 90.00° and 90.00°. The inequivalent atoms are In at (0.0301, 0.2500, 0.1144), In at (0.1904, 0.5554, 0.3380) and Si at (0.1321, 0.2500, 0.5256).